Record 1
The following is a GGA-PBE calculation of crystalline Ta2FeBr at its relaxed geometry, from Alexandria.

Results
- size of the total moment (μB/f.u.) = 1.2
- distance to the lowest polymorph of the same formula (eV/atom) = 0.461
- energy relative to the elements, uncorrected (eV/atom) = 0.561
- SG = Imm2, No. 44

```
4
Lattice="5.357 -0.003 -0.035 2.430 4.774 0.035 -3.304 -3.348 2.564" Properties=species:S:1:pos:R:3 pbc="T T T"
Br 3.695 2.264 0.000
Ta 0.229 0.140 0.000
Ta 2.924 -0.513 1.265
Fe 1.529 1.918 1.300
```

Record 2
The following is a GGA-PBE calculation of crystalline Ta2FeBr at its relaxed geometry, from Alexandria.

Results
- size of the total moment (μB/f.u.) = 1.5
- distance to the lowest polymorph of the same formula (eV/atom) = 0.514
- energy relative to the elements, uncorrected (eV/atom) = 0.614
- SG = Cmmm, No. 65

```
4
Lattice="-3.354 -6.400 -0.288 3.504 1.436 2.729 -1.614 -0.643 2.414" Properties=species:S:1:pos:R:3 pbc="T T T"
Ta 0.000 0.000 0.000
Ta -2.484 -3.521 1.063
Br 0.945 0.397 2.571
Fe 0.075 -2.482 1.220
```

Record 3
The following is a GGA-PBE calculation of crystalline TaFeBr4 at its relaxed geometry, from Alexandria.

Results
- size of the total moment (μB/f.u.) = 0.7
- energy relative to the elements, uncorrected (eV/atom) = 1.568
- SG = F-43m, No. 216

```
6
Lattice="-5.808 -0.762 1.342 -4.206 1.005 -4.174 -3.050 -4.608 -2.362" Properties=species:S:1:pos:R:3 pbc="T T T"
Br -7.002 -1.135 -4.034
Br -4.900 -1.637 -1.948
Br -7.802 -2.018 -1.277
Br -6.424 -3.940 -3.129
Ta 0.000 0.000 0.000
Fe -9.798 -3.274 -3.895
```

Record 4
The following is a GGA-PBE calculation of crystalline TaFe2Br at its relaxed geometry, from Alexandria.

Results
- size of the total moment (μB/f.u.) = 2.1
- distance to the lowest polymorph of the same formula (eV/atom) = 0.483
- energy relative to the elements, uncorrected (eV/atom) = 0.745
- SG = P4/mmm, No. 123

```
4
Lattice="-0.150 -2.437 1.925 2.821 -2.157 -2.512 3.304 1.625 2.316" Properties=species:S:1:pos:R:3 pbc="T T T"
Fe 3.063 -0.266 -0.098
Fe 0.000 0.000 0.000
Br 1.577 -0.406 2.120
Ta 1.336 -2.297 -0.293
```

Record 5
The following is a GGA-PBE calculation of crystalline Ta2FeBr at its relaxed geometry, from Alexandria.

Results
- size of the total moment (μB/f.u.) = 1.5
- distance to the lowest polymorph of the same formula (eV/atom) = 0.581
- energy relative to the elements, uncorrected (eV/atom) = 0.681
- SG = Fm-3m, No. 225

```
4
Lattice="-4.497 -0.374 -0.396 -2.667 3.500 1.074 -2.183 2.267 -3.258" Properties=species:S:1:pos:R:3 pbc="T T T"
Fe 0.000 0.000 0.000
Br -4.673 2.697 -1.290
Ta -7.010 4.045 -1.934
Ta -2.337 1.348 -0.645
```

Record 6
The following is a GGA-PBE calculation of crystalline TaFe2Br at its relaxed geometry, from Alexandria.

Results
- size of the total moment (μB/f.u.) = 4.5
- distance to the lowest polymorph of the same formula (eV/atom) = 0.402
- energy relative to the elements, uncorrected (eV/atom) = 0.664
- SG = Cmmm, No. 65

```
4
Lattice="4.748 0.056 -0.025 -2.007 4.303 -0.025 0.013 0.021 3.055" Properties=species:S:1:pos:R:3 pbc="T T T"
Fe 1.370 2.180 -0.025
Fe 0.000 0.000 0.000
Ta 2.381 0.039 1.515
Br -0.997 2.162 1.515
```